Here is Cr5Os at its PBEsol-relaxed geometry from the Alexandria database. Energies are from meta-GGA SCAN.

abc: 9.0291 2.8497 5.7397
angles: 90.00 108.49 90.00
Space group C2/m (No. 12)
Symmetry-distinct sites (fractional):
Cr 0.0000 0.0000 0.0000
Cr 0.1695 0.5000 0.8451
Cr 0.1736 0.5000 0.3267
Os 0.0000 0.0000 0.5000

Calculated values
The value obtained for the magnetization is 0.00 μB per cell. The total energy is -327.54 eV/cell. The formation energy from the elements comes out at 0.01 eV per atom. The calculation puts the density of states at the Fermi level at 11.2 states/eV per cell. The energy above the most stable polymorph in this dataset comes out at 0.088 eV/atom.